# YTlPtRh

A relaxed YTlPtRh crystal (PBE, the Alexandria database).

Output
Electronic total energy (eV per formula unit): -24.5
Space-group type: F-43m
ΔH_f (0 K) (eV per atom): -0.579
Magnetization (Bohr magnetons per cell): 0.0

abc: 6.7902 6.7902 6.7902
angles: 90.00 90.00 90.00
Fractional coordinates of all 16 atoms:
Y 0.0000 0.0000 0.0000
Y 0.0000 0.5000 0.5000
Y 0.5000 0.0000 0.5000
Y 0.5000 0.5000 0.0000
Tl 0.0000 0.0000 0.5000
Tl 0.0000 0.5000 0.0000
Tl 0.5000 0.0000 0.0000
Tl 0.5000 0.5000 0.5000
Pt 0.2500 0.2500 0.2500
Pt 0.2500 0.7500 0.7500
Pt 0.7500 0.2500 0.7500
Pt 0.7500 0.7500 0.2500
Rh 0.2500 0.2500 0.7500
Rh 0.2500 0.7500 0.2500
Rh 0.7500 0.2500 0.2500
Rh 0.7500 0.7500 0.7500